{
  "formula": "ZnGeOF2",
  "functional": "SCAN",
  "state": "single point on PBEsol structure",
  "total_magnetization_mub_per_atom": 0.153,
  "n_ef_per_ev_cell": 0.84,
  "total_energy_ev_per_atom": -10.381,
  "lattice_angstrom": [[4.177, 0.000, 0.000], [0.000, 4.177, 0.000], [0.000, 0.000, 3.697]],
  "species": ["Zn", "Ge", "O", "F", "F"],
  "fractional_positions": [[0.000, 0.000, 0.000], [0.500, 0.500, 0.500], [0.500, 0.500, 0.000], [0.000, 0.500, 0.500], [0.500, 0.000, 0.500]]
}

{
  "formula": "ZrGeOF2",
  "functional": "SCAN",
  "state": "single point on PBEsol structure",
  "total_magnetization_mub_per_atom": 0.448,
  "n_ef_per_ev_cell": 1.29,
  "total_energy_ev_per_atom": -13.753,
  "lattice_angstrom": [[4.206, 0.000, 0.000], [0.000, 4.206, 0.000], [0.000, 0.000, 4.072]],
  "species": ["Zr", "Ge", "O", "F", "F"],
  "fractional_positions": [[0.000, 0.000, 0.000], [0.500, 0.500, 0.500], [0.500, 0.500, 0.000], [0.000, 0.500, 0.500], [0.500, 0.000, 0.500]]
}

{
  "formula": "GePdF3",
  "functional": "SCAN",
  "state": "single point on PBEsol structure",
  "total_magnetization_mub_per_atom": 0.104,
  "n_ef_per_ev_cell": 8.46,
  "total_energy_ev_per_atom": -13.633,
  "lattice_angstrom": [[4.138, 0.000, 0.000], [0.000, 4.138, 0.000], [0.000, 0.000, 4.138]],
  "species": ["Ge", "Pd", "F", "F", "F"],
  "fractional_positions": [[0.000, 0.000, 0.000], [0.500, 0.500, 0.500], [0.000, 0.000, 0.500], [0.000, 0.500, 0.000], [0.500, 0.000, 0.000]]
}

{
  "formula": "YGe2PdF",
  "functional": "SCAN",
  "state": "single point on PBEsol structure",
  "total_magnetization_mub_per_atom": 0.000,
  "n_ef_per_ev_cell": 3.69,
  "total_energy_ev_per_atom": -20.767,
  "lattice_angstrom": [[5.423, 0.000, 0.000], [0.000, 5.423, 0.000], [0.000, 0.000, 4.037]],
  "species": ["Y", "Ge", "Ge", "Pd", "F"],
  "fractional_positions": [[0.000, 0.000, 0.000], [0.000, 0.500, 0.000], [0.500, 0.000, 0.000], [0.500, 0.500, 0.500], [0.000, 0.000, 0.500]]
}

{
  "formula": "GePt2F",
  "functional": "SCAN",
  "state": "single point on PBEsol structure",
  "total_magnetization_mub_per_atom": 0.000,
  "n_ef_per_ev_cell": 4.67,
  "total_energy_ev_per_atom": -41.225,
  "lattice_angstrom": [[5.976, 0.000, 0.000], [0.000, 5.976, 0.000], [0.000, 0.000, 5.976]],
  "species": ["Ge", "Ge", "Ge", "Ge", "Pt", "Pt", "Pt", "Pt", "Pt", "Pt", "Pt", "Pt", "F", "F", "F", "F"],
  "fractional_positions": [[0.000, 0.000, 0.000], [0.000, 0.500, 0.500], [0.500, 0.000, 0.500], [0.500, 0.500, 0.000], [0.250, 0.250, 0.250], [0.250, 0.250, 0.750], [0.250, 0.750, 0.250], [0.250, 0.750, 0.750], [0.750, 0.250, 0.250], [0.750, 0.250, 0.750], [0.750, 0.750, 0.250], [0.750, 0.750, 0.750], [0.000, 0.000, 0.500], [0.000, 0.500, 0.000], [0.500, 0.000, 0.000], [0.500, 0.500, 0.500]]
}

{
  "formula": "RbGeF3",
  "functional": "SCAN",
  "state": "single point on PBEsol structure",
  "total_magnetization_mub_per_atom": 0.000,
  "n_ef_per_ev_cell": 0.00,
  "total_energy_ev_per_atom": -12.485,
  "lattice_angstrom": [[4.405, 0.000, 0.000], [0.000, 4.405, 0.000], [0.000, 0.000, 4.405]],
  "species": ["Rb", "Ge", "F", "F", "F"],
  "fractional_positions": [[0.000, 0.000, 0.000], [0.500, 0.500, 0.500], [0.000, 0.500, 0.500], [0.500, 0.000, 0.500], [0.500, 0.500, 0.000]]
}

{
  "formula": "Rb2GeF6",
  "functional": "SCAN",
  "state": "single point on PBEsol structure",
  "total_magnetization_mub_per_atom": 0.000,
  "n_ef_per_ev_cell": 0.00,
  "total_energy_ev_per_atom": -12.019,
  "lattice_angstrom": [[5.911, 0.000, 0.000], [-2.956, 5.119, 0.000], [0.000, 0.000, 9.619]],
  "species": ["Rb", "Rb", "Rb", "Rb", "Ge", "Ge", "F", "F", "F", "F", "F", "F", "F", "F", "F", "F", "F", "F"],
  "fractional_positions": [[0.000, 0.000, 0.000], [0.000, 0.000, 0.500], [0.333, 0.667, 0.224], [0.667, 0.333, 0.724], [0.333, 0.667, 0.841], [0.667, 0.333, 0.341], [0.045, 0.522, 0.952], [0.186, 0.371, 0.736], [0.186, 0.814, 0.736], [0.371, 0.186, 0.236], [0.478, 0.522, 0.952], [0.478, 0.955, 0.952], [0.522, 0.045, 0.452], [0.522, 0.478, 0.452], [0.629, 0.814, 0.736], [0.814, 0.186, 0.236], [0.814, 0.629, 0.236], [0.955, 0.478, 0.452]]
}

{
  "formula": "Rb2GeF6",
  "functional": "SCAN",
  "state": "single point on PBEsol structure",
  "total_magnetization_mub_per_atom": 0.001,
  "n_ef_per_ev_cell": 0.00,
  "total_energy_ev_per_atom": -12.022,
  "lattice_angstrom": [[5.807, 0.000, 0.000], [-2.903, 5.029, 0.000], [0.000, 0.000, 4.796]],
  "species": ["Rb", "Rb", "Ge", "F", "F", "F", "F", "F", "F"],
  "fractional_positions": [[0.333, 0.667, 0.299], [0.667, 0.333, 0.701], [0.000, 0.000, 0.000], [0.150, 0.300, 0.786], [0.150, 0.850, 0.786], [0.300, 0.150, 0.214], [0.700, 0.850, 0.786], [0.850, 0.150, 0.214], [0.850, 0.700, 0.214]]
}

{
  "formula": "Rb2GeF6",
  "functional": "SCAN",
  "state": "single point on PBEsol structure",
  "total_magnetization_mub_per_atom": 0.001,
  "n_ef_per_ev_cell": 0.00,
  "total_energy_ev_per_atom": -12.015,
  "lattice_angstrom": [[0.000, 4.239, 4.239], [4.239, 0.000, 4.239], [4.239, 4.239, 0.000]],
  "species": ["Rb", "Rb", "Ge", "F", "F", "F", "F", "F", "F"],
  "fractional_positions": [[0.250, 0.250, 0.250], [0.750, 0.750, 0.750], [0.000, 0.000, 0.000], [0.215, 0.215, 0.785], [0.215, 0.785, 0.215], [0.215, 0.785, 0.785], [0.785, 0.215, 0.215], [0.785, 0.215, 0.785], [0.785, 0.785, 0.215]]
}

{
  "formula": "RbGeF2",
  "functional": "SCAN",
  "state": "single point on PBEsol structure",
  "total_magnetization_mub_per_atom": 0.184,
  "n_ef_per_ev_cell": 3.63,
  "total_energy_ev_per_atom": -13.224,
  "lattice_angstrom": [[3.970, 0.000, 0.000], [-1.985, 3.439, 0.000], [0.000, 0.000, 19.405]],
  "species": ["Rb", "Rb", "Rb", "Ge", "Ge", "Ge", "F", "F", "F", "F", "F", "F"],
  "fractional_positions": [[0.000, 0.000, 0.000], [0.333, 0.667, 0.667], [0.667, 0.333, 0.333], [0.000, 0.000, 0.500], [0.333, 0.667, 0.167], [0.667, 0.333, 0.833], [0.000, 0.000, 0.132], [0.000, 0.000, 0.868], [0.333, 0.667, 0.535], [0.333, 0.667, 0.798], [0.667, 0.333, 0.202], [0.667, 0.333, 0.465]]
}

{
  "formula": "ReGeSeF2",
  "functional": "SCAN",
  "state": "single point on PBEsol structure",
  "total_magnetization_mub_per_atom": 0.838,
  "n_ef_per_ev_cell": 2.01,
  "total_energy_ev_per_atom": -23.640,
  "lattice_angstrom": [[3.937, 0.000, 0.000], [0.000, 3.937, 0.000], [0.000, 0.000, 5.774]],
  "species": ["Re", "Ge", "Se", "F", "F"],
  "fractional_positions": [[0.000, 0.000, 0.000], [0.500, 0.500, 0.500], [0.500, 0.500, 0.000], [0.000, 0.500, 0.500], [0.500, 0.000, 0.500]]
}

{
  "formula": "GeRuF2",
  "functional": "SCAN",
  "state": "single point on PBEsol structure",
  "total_magnetization_mub_per_atom": 0.573,
  "n_ef_per_ev_cell": 6.25,
  "total_energy_ev_per_atom": -15.618,
  "lattice_angstrom": [[5.851, 0.000, 0.000], [0.000, 5.851, 0.000], [0.000, 0.000, 5.851]],
  "species": ["Ge", "Ge", "Ge", "Ge", "Ru", "Ru", "Ru", "Ru", "F", "F", "F", "F", "F", "F", "F", "F"],
  "fractional_positions": [[0.000, 0.000, 0.000], [0.000, 0.500, 0.500], [0.500, 0.000, 0.500], [0.500, 0.500, 0.000], [0.000, 0.000, 0.500], [0.000, 0.500, 0.000], [0.500, 0.000, 0.000], [0.500, 0.500, 0.500], [0.250, 0.250, 0.250], [0.250, 0.250, 0.750], [0.250, 0.750, 0.250], [0.250, 0.750, 0.750], [0.750, 0.250, 0.250], [0.750, 0.250, 0.750], [0.750, 0.750, 0.250], [0.750, 0.750, 0.750]]
}